(1)
# Hf2Ga3

Hf2Ga3 after structural relaxation (GGA-PBE, Alexandria via LeMat-Bulk).

The space group is Fdd2 (No. 43) and the conventional cell measures 9.444, 13.693 and 5.495 Å, with angles of 90.00, 90.00 and 90.00 degrees. The inequivalent atoms are Hf at (0.067, 0.303, 0.000), Ga at (0.000, 0.000, 0.373) and Ga at (0.069, 0.385, 0.489).

For the total moment, the calculation gives 0.00 μB/cell. The energy is -6.30 eV per atom. The energy relative to the elements is -2.49 eV per formula unit.

=====

(2)
# La2Ag2Br

La2Ag2Br after structural relaxation (GGA-PBE, Alexandria via LeMat-Bulk).

The space group is P4/mbm (No. 127) and the conventional cell measures 8.380, 8.380 and 4.203 Å, with angles of 90.00, 90.00 and 90.00 degrees. The inequivalent atoms are La at (0.172, 0.328, 0.000), Ag at (0.121, 0.621, 0.500) and Br at (0.000, 0.000, 0.000).

The calculation puts the energy above the most stable polymorph in this dataset at 0.000 kcal/mol of atoms. For the raw formation energy, the calculation gives -2.880 eV/f.u. For the total moment, the calculation gives 0.00 μB/cell. The energy is -4.02 eV per atom.

=====

(3)
# Ti2MoRh2

Ti2MoRh2 after structural relaxation (GGA-PBE, Alexandria via LeMat-Bulk).

The space group is P4/mbm (No. 127) and the conventional cell measures 7.376, 7.376 and 2.861 Å, with angles of 90.00, 90.00 and 90.00 degrees. The inequivalent atoms are Ti at (0.166, 0.334, 0.000), Mo at (0.000, 0.000, 0.500) and Rh at (0.133, 0.633, 0.500).

The calculation puts the energy above the most stable polymorph in this dataset at 0.927 kcal/mol of atoms. For the total moment, the calculation gives 0.00 μB/cell. The energy is -8.62 eV per atom. The energy relative to the elements is -1.78 eV per formula unit.

=====

(4)
# YAs2Pd4

YAs2Pd4 after structural relaxation (GGA-PBE, Alexandria via LeMat-Bulk).

The space group is P4_2/mnm (No. 136) and the conventional cell measures 7.751, 7.751 and 4.078 Å, with angles of 90.00, 90.00 and 90.00 degrees. The inequivalent atoms are Y at (0.000, 0.000, 0.000), As at (0.222, 0.222, 0.500) and Pd at (0.086, 0.663, 0.500).

The calculation puts the energy above the most stable polymorph in this dataset at 0.000 kcal/mol of atoms. For the total moment, the calculation gives 0.00 μB/cell. The energy is -5.95 eV per atom. The energy relative to the elements is -5.10 eV per formula unit.

=====

(5)
# CoReW2

CoReW2 after structural relaxation (GGA-PBE, Alexandria via LeMat-Bulk).

The space group is I-4m2 (No. 119) and the conventional cell measures 3.837, 3.837 and 7.927 Å, with angles of 90.00, 90.00 and 90.00 degrees. The inequivalent atoms are Co at (0.000, 0.000, 0.000), Re at (0.000, 0.500, 0.750), W at (0.000, 0.000, 0.500) and W at (0.000, 0.500, 0.250).

The calculation puts the energy above the most stable polymorph in this dataset at 1.368 kcal/mol of atoms. For the total moment, the calculation gives 0.00 μB/cell. The energy is -11.18 eV per atom. The energy relative to the elements is 0.73 eV per formula unit.

=====

(6)
# CoAsAu4

CoAsAu4 after structural relaxation (GGA-PBE, Alexandria via LeMat-Bulk).

The space group is F-43m (No. 216) and the conventional cell measures 7.736, 7.736 and 7.736 Å, with angles of 90.00, 90.00 and 90.00 degrees. The inequivalent atoms are Co at (0.000, 0.000, 0.000), As at (0.250, 0.250, 0.750) and Au at (0.125, 0.125, 0.375).

For the total moment, the calculation gives 8.69 μB/cell. The energy is -3.62 eV per atom. The energy relative to the elements is 3.17 eV per formula unit.